[1]
DFT (GGA-PBE) results for a relaxed structure of Pr3Zn2Ge4.

Summary:
For the calculated density, the calculation gives 6948 kg/m3. The volume comes out at 403 Å³/cell. The value obtained for the uncorrected energy is -4.5690 eV/atom. The value obtained for the energy relative to the elements is -0.6406 eV per atom.

Unit cell a=11.477 b=4.261 c=8.815 alpha=90.00 beta=110.62 gamma=90.00
Space group C2/m (No. 12)
Inequivalent atoms, fractional coordinates:
Pr 0.000 0.000 0.000 (multiplicity 2)
Pr 0.121 0.500 0.689 (multiplicity 4)
Zn 0.184 0.500 0.338 (multiplicity 4)
Ge 0.094 0.000 0.398 (multiplicity 4)
Ge 0.216 0.500 0.060 (multiplicity 4)

=====

[2]
DFT (GGA-PBE) results for a relaxed structure of NiMo3S4.

Summary:
For the calculated density, the calculation gives 5886 kg/m3. The volume comes out at 268 Å³/cell. The value obtained for the uncorrected energy is -7.4399 eV/atom. For the uncorrected formation energy, the calculation gives -57 kJ/mol of atoms.

Unit cell a=6.381 b=6.533 c=6.540 alpha=97.78 beta=97.04 gamma=91.35
Space group P-1 (No. 2)
Inequivalent atoms, fractional coordinates:
Ni 0.159 0.406 0.442 (multiplicity 2)
Mo 0.220 0.044 0.909 (multiplicity 2)
Mo 0.407 0.712 0.036 (multiplicity 2)
Mo 0.458 0.102 0.293 (multiplicity 2)
S 0.142 0.885 0.219 (multiplicity 2)
S 0.199 0.689 0.691 (multiplicity 2)
S 0.269 0.377 0.129 (multiplicity 2)
S 0.360 0.221 0.643 (multiplicity 2)

=====

[3]
DFT (GGA-PBE) results for a relaxed structure of Zr2PW.

Summary:
For the calculated density, the calculation gives 9121 kg/m3. The volume comes out at 72 Å³/cell. The value obtained for the uncorrected energy is -9.1833 eV/atom. The value obtained for the energy relative to the elements is -0.3185 eV per atom.

Unit cell a=4.532 b=4.532 c=3.521 alpha=90.00 beta=90.00 gamma=90.00
Space group P4/mmm (No. 123)
Inequivalent atoms, fractional coordinates:
Zr 0.000 0.500 0.000 (multiplicity 2)
P 0.000 0.000 0.500 (multiplicity 1)
W 0.500 0.500 0.500 (multiplicity 1)